# 1
First-principles (GGA-PBE) data for a relaxed structure of ZnFePPt2, as listed in the Alexandria database.

It has space group P4/mmm (No. 123), with a = 4.733 Å, b = 4.733 Å, c = 4.071 Å, α = 90.00°, β = 90.00° and γ = 90.00°. The asymmetric unit holds Zn at (0.000, 0.000, 0.000), Fe at (0.500, 0.500, 0.500), P at (0.500, 0.500, 0.000) and Pt at (0.000, 0.500, 0.500).

The formation energy comes out at 0.5857 eV per atom.


# 2
First-principles (GGA-PBE) data for a relaxed structure of LiAc2Al4Zn3, as listed in the Alexandria database.

It has space group P-4m2 (No. 115), with a = 4.462 Å, b = 4.462 Å, c = 10.924 Å, α = 90.00°, β = 90.00° and γ = 90.00°. The asymmetric unit holds Li at (0.000, 0.000, 0.000), Ac at (0.000, 0.500, 0.749), Al at (0.000, 0.000, 0.500), Al at (0.000, 0.500, 0.128), Al at (0.500, 0.500, 0.500), Zn at (0.000, 0.500, 0.366) and Zn at (0.500, 0.500, 0.000).

The formation energy comes out at -0.3304 eV per atom.


# 3
First-principles (GGA-PBE) data for a relaxed structure of ZnCdIn2, as listed in the Alexandria database.

It has space group I4/mmm (No. 139), with a = 4.587 Å, b = 4.587 Å, c = 8.812 Å, α = 90.00°, β = 90.00° and γ = 90.00°. The asymmetric unit holds Zn at (0.000, 0.000, 0.000), Cd at (0.000, 0.000, 0.500) and In at (0.000, 0.500, 0.250).

The formation energy comes out at 0.0910 eV per atom.


# 4
First-principles (GGA-PBE) data for a relaxed structure of Hf2TaTi4Nb2, as listed in the Alexandria database.

It has space group P-1 (No. 2), with a = 5.147 Å, b = 5.299 Å, c = 7.283 Å, α = 81.29°, β = 74.41° and γ = 62.57°. The asymmetric unit holds Hf at (0.203, 0.143, 0.444), Ta at (0.500, 0.500, 0.500), Ti at (0.157, 0.822, 0.826), Ti at (0.244, 0.592, 0.183) and Nb at (0.322, 0.231, 0.889).

The formation energy comes out at 0.0646 eV per atom.


# 5
First-principles (GGA-PBE) data for a relaxed structure of Rb2BaGaF6, as listed in the Alexandria database.

It has space group Fm-3m (No. 225), with a = 9.412 Å, b = 9.412 Å, c = 9.412 Å, α = 90.00°, β = 90.00° and γ = 90.00°. The asymmetric unit holds Rb at (0.250, 0.250, 0.250), Ba at (0.000, 0.000, 0.000), Ga at (0.000, 0.000, 0.500) and F at (0.000, 0.000, 0.272).

As for the uncorrected formation energy: -2784 meV/atom.


# 6
First-principles (GGA-PBE) data for a relaxed structure of Ce2ZrTi, as listed in the Alexandria database.

It has space group P4/mmm (No. 123), with a = 3.077 Å, b = 3.077 Å, c = 9.956 Å, α = 90.00°, β = 90.00° and γ = 90.00°. The asymmetric unit holds Ce at (0.000, 0.000, 0.238), Zr at (0.500, 0.500, 0.500) and Ti at (0.500, 0.500, 0.000).

The formation energy comes out at 0.1615 eV per atom.


# 7
First-principles (GGA-PBE) data for a relaxed structure of TaAuSO2, as listed in the Alexandria database.

It has space group P4/mmm (No. 123), with a = 4.031 Å, b = 4.031 Å, c = 4.815 Å, α = 90.00°, β = 90.00° and γ = 90.00°. The asymmetric unit holds Ta at (0.000, 0.000, 0.000), Au at (0.500, 0.500, 0.500), S at (0.500, 0.500, 0.000) and O at (0.000, 0.500, 0.500).

As for the uncorrected formation energy: 685 meV/atom.


# 8
First-principles (GGA-PBE) data for a relaxed structure of MnAg2Os, as listed in the Alexandria database.

It has space group Cmm2 (No. 35), with a = 2.952 Å, b = 4.655 Å, c = 9.313 Å, α = 90.00°, β = 90.00° and γ = 90.00°. The asymmetric unit holds Mn at (0.000, 0.000, 0.000), Ag at (0.000, 0.000, 0.481), Ag at (0.000, 0.500, 0.749) and Os at (0.000, 0.500, 0.212).

The formation energy comes out at 0.3737 eV per atom.